Density functional theory data (PBE) for crystalline Ac2ScS2O2 at its relaxed geometry.

a = 4.2350 Å, b = 4.2350 Å, c = 8.2051 Å
α = 104.96°, β = 104.96°, γ = 90.00°
Atoms (fractional coordinates):
Ac 0.6293 0.6293 0.2587
Ac 0.3707 0.3707 0.7413
O 0.5000 0.0000 0.0000
O 0.0000 0.5000 0.0000
S 0.8275 0.8275 0.6550
S 0.1725 0.1725 0.3450
Sc 0.0000 0.0000 0.0000

Output
Electronic total energy: -51.634 eV/cell
Volume: 137.0 Å³/f.u.


Density functional theory data (PBE) for crystalline Ac2Se2SO2 at its relaxed geometry.

a = 4.2087 Å, b = 4.2087 Å, c = 12.2175 Å
α = 90.00°, β = 90.00°, γ = 120.00°
Atoms (fractional coordinates):
O 0.3333 0.6667 0.4243
O 0.6667 0.3333 0.5757
Se 0.0000 0.0000 0.8088
Se 0.0000 0.0000 0.1912
Ac 0.3333 0.6667 0.6313
Ac 0.6667 0.3333 0.3687
S 0.0000 0.0000 0.0000

Output
Electronic total energy: -42.152 eV/cell
Volume: 187.4 Å³/f.u.


Density functional theory data (PBE) for crystalline Ac2SeSO at its relaxed geometry.

a = 4.7223 Å, b = 4.7223 Å, c = 7.2184 Å
α = 90.00°, β = 90.00°, γ = 120.00°
Atoms (fractional coordinates):
Se 0.0000 0.0000 0.0096
Ac 0.6667 0.3333 0.7136
Ac 0.3333 0.6667 0.2553
S 0.3333 0.6667 0.6449
O 0.6667 0.3333 0.3765

Output
Electronic total energy: -32.738 eV/cell
Volume: 139.4 Å³/f.u.


Density functional theory data (PBE) for crystalline Ac2SeS2O2 at its relaxed geometry.

a = 4.1974 Å, b = 4.1974 Å, c = 11.8459 Å
α = 90.00°, β = 90.00°, γ = 120.00°
Atoms (fractional coordinates):
O 0.3333 0.6667 0.4223
O 0.6667 0.3333 0.5777
Ac 0.6667 0.3333 0.3644
Ac 0.3333 0.6667 0.6356
Se 0.0000 0.0000 0.0000
S 0.0000 0.0000 0.1982
S 0.0000 0.0000 0.8018

Output
Electronic total energy: -43.515 eV/cell
Volume: 180.7 Å³/f.u.


Density functional theory data (PBE) for crystalline AcSmS2O8 at its relaxed geometry.

a = 5.7260 Å, b = 5.7260 Å, c = 6.9970 Å
α = 90.00°, β = 90.00°, γ = 120.00°
Atoms (fractional coordinates):
O 0.6667 0.3333 0.5050
O 0.8116 0.1884 0.2252
O 0.3333 0.6667 0.4950
O 0.1884 0.8116 0.7748
O 0.3769 0.1884 0.2252
O 0.1884 0.3769 0.7748
O 0.8116 0.6231 0.2252
O 0.6231 0.8116 0.7748
Sm 0.0000 0.0000 0.0000
S 0.6667 0.3333 0.2940
S 0.3333 0.6667 0.7060
Ac 0.0000 0.0000 0.5000

Output
Electronic total energy: -79.132 eV/cell
Volume: 198.7 Å³/f.u.


Density functional theory data (PBE) for crystalline Ac2SmS2O2 at its relaxed geometry.

a = 4.4691 Å, b = 4.4691 Å, c = 8.4378 Å
α = 105.36°, β = 105.36°, γ = 90.00°
Atoms (fractional coordinates):
Ac 0.3660 0.3660 0.7319
Ac 0.6340 0.6340 0.2681
S 0.1775 0.1775 0.3549
S 0.8225 0.8225 0.6451
Sm 0.0000 0.0000 0.0000
O 0.0000 0.5000 0.0000
O 0.5000 0.0000 0.0000

Output
Electronic total energy: -48.491 eV/cell
Volume: 156.3 Å³/f.u.


Density functional theory data (PBE) for crystalline AcSmSO2 at its relaxed geometry.

a = 3.9824 Å, b = 3.9824 Å, c = 6.9486 Å
α = 106.65°, β = 106.65°, γ = 90.00°
Atoms (fractional coordinates):
S 0.4980 0.4980 0.9959
O 0.2558 0.7558 0.5116
O 0.7558 0.2558 0.5116
Ac 0.1451 0.1451 0.2901
Sm 0.8454 0.8454 0.6909

Output
Electronic total energy: -37.820 eV/cell
Volume: 100.7 Å³/f.u.


Density functional theory data (PBE) for crystalline Ac2SnS2O2 at its relaxed geometry.

a = 4.4257 Å, b = 4.4257 Å, c = 8.3905 Å
α = 105.29°, β = 105.29°, γ = 90.00°
Atoms (fractional coordinates):
S 0.8180 0.8180 0.6360
S 0.1820 0.1820 0.3640
O 0.5000 0.0000 0.0000
O 0.0000 0.5000 0.0000
Sn 0.0000 0.0000 0.0000
Ac 0.6266 0.6266 0.2531
Ac 0.3734 0.3734 0.7469

Output
Electronic total energy: -43.911 eV/cell
Volume: 152.5 Å³/f.u.


Density functional theory data (PBE) for crystalline AcSnS2O8 at its relaxed geometry.

a = 5.9097 Å, b = 5.4040 Å, c = 8.3546 Å
α = 62.02°, β = 69.29°, γ = 56.85°
Atoms (fractional coordinates):
O 0.4243 0.9904 0.7537
O 0.5757 0.0096 0.2463
O 0.3044 0.3984 0.9929
O 0.8315 0.9904 0.7537
O 0.1685 0.0096 0.2463
O 0.6956 0.6016 0.0071
O 0.8716 0.5450 0.7118
O 0.1284 0.4550 0.2882
Sn 0.5000 0.5000 0.5000
S 0.7078 0.7793 0.8050
S 0.2922 0.2207 0.1950
Ac 0.0000 0.0000 0.0000

Output
Electronic total energy: -76.918 eV/cell
Volume: 195.6 Å³/f.u.


Density functional theory data (PBE) for crystalline SrAc2SO8 at its relaxed geometry.

a = 5.4302 Å, b = 5.4302 Å, c = 6.9032 Å
α = 90.00°, β = 90.00°, γ = 120.00°
Atoms (fractional coordinates):
O 0.1467 0.2934 0.1424
O 0.3333 0.6667 0.5274
O 0.7066 0.8533 0.1424
O 0.8533 0.1467 0.8576
O 0.1467 0.8533 0.1424
O 0.2934 0.1467 0.8576
O 0.8533 0.7066 0.8576
O 0.6667 0.3333 0.4726
Sr 0.0000 0.0000 0.5000
Ac 0.6667 0.3333 0.1524
Ac 0.3333 0.6667 0.8476
S 0.0000 0.0000 0.0000

Output
Electronic total energy: -78.053 eV/cell
Volume: 176.3 Å³/f.u.


Density functional theory data (PBE) for crystalline AcTbSO2 at its relaxed geometry.

a = 4.1683 Å, b = 4.1683 Å, c = 6.2979 Å
α = 90.00°, β = 90.00°, γ = 90.00°
Atoms (fractional coordinates):
O 0.0000 0.5000 0.9077
O 0.5000 0.0000 0.9077
Tb 0.0000 0.0000 0.0388
S 0.0000 0.0000 0.4670
Ac 0.5000 0.5000 0.6787

Output
Electronic total energy: -38.362 eV/cell
Volume: 109.4 Å³/f.u.


Density functional theory data (PBE) for crystalline Ac2TbS2O2 at its relaxed geometry.

a = 4.4025 Å, b = 4.4025 Å, c = 8.3982 Å
α = 105.20°, β = 105.20°, γ = 90.00°
Atoms (fractional coordinates):
O 0.5000 0.0000 0.0000
O 0.0000 0.5000 0.0000
Tb 0.0000 0.0000 0.0000
S 0.1755 0.1755 0.3511
S 0.8245 0.8245 0.6489
Ac 0.6337 0.6337 0.2673
Ac 0.3663 0.3663 0.7327

Output
Electronic total energy: -49.050 eV/cell
Volume: 151.2 Å³/f.u.


Density functional theory data (PBE) for crystalline AcTbS2O at its relaxed geometry.

a = 4.0677 Å, b = 4.0677 Å, c = 14.2496 Å
α = 90.00°, β = 90.00°, γ = 90.00°
Atoms (fractional coordinates):
Tb 0.0000 0.5000 0.8836
Tb 0.5000 0.0000 0.1164
Ac 0.5000 0.0000 0.5951
Ac 0.0000 0.5000 0.4049
S 0.0000 0.5000 0.7079
S 0.5000 0.0000 0.9098
S 0.5000 0.0000 0.2921
S 0.0000 0.5000 0.0902
O 0.5000 0.5000 0.5000
O 0.0000 0.0000 0.5000

Output
Electronic total energy: -69.170 eV/cell
Volume: 117.9 Å³/f.u.


Density functional theory data (PBE) for crystalline AcTeS2O at its relaxed geometry.

a = 4.1375 Å, b = 4.1375 Å, c = 13.5911 Å
α = 90.00°, β = 90.00°, γ = 90.00°
Atoms (fractional coordinates):
S 0.0000 0.5000 0.1094
S 0.5000 0.0000 0.2965
S 0.0000 0.5000 0.7035
S 0.5000 0.0000 0.8906
Te 0.0000 0.5000 0.8809
Te 0.5000 0.0000 0.1191
O 0.0000 0.0000 0.5000
O 0.5000 0.5000 0.5000
Ac 0.5000 0.0000 0.5985
Ac 0.0000 0.5000 0.4015

Output
Electronic total energy: -56.244 eV/cell
Volume: 116.3 Å³/f.u.


Density functional theory data (PBE) for crystalline AcTiS2O at its relaxed geometry.

a = 3.9388 Å, b = 3.9388 Å, c = 13.2072 Å
α = 90.00°, β = 90.00°, γ = 90.00°
Atoms (fractional coordinates):
O 0.5000 0.5000 0.5000
O 0.0000 0.0000 0.5000
Ac 0.5000 0.0000 0.6065
Ac 0.0000 0.5000 0.3935
Ti 0.5000 0.0000 0.0974
Ti 0.0000 0.5000 0.9026
S 0.0000 0.5000 0.7297
S 0.0000 0.5000 0.0893
S 0.5000 0.0000 0.2703
S 0.5000 0.0000 0.9107

Output
Electronic total energy: -70.756 eV/cell
Volume: 102.4 Å³/f.u.


Density functional theory data (PBE) for crystalline AcTiSO2 at its relaxed geometry.

a = 5.7693 Å, b = 5.7693 Å, c = 6.7421 Å
α = 115.33°, β = 115.33°, γ = 90.00°
Atoms (fractional coordinates):
Ti 0.9990 0.9990 0.9979
Ti 0.4990 0.4990 0.9979
O 0.7223 0.2223 0.9445
O 0.2223 0.7223 0.9445
O 0.2223 0.2223 0.9445
O 0.7223 0.7223 0.9445
Ac 0.3291 0.8291 0.6581
Ac 0.8291 0.3291 0.6581
S 0.7276 0.7276 0.4553
S 0.2276 0.2276 0.4553

Output
Electronic total energy: -78.617 eV/cell
Volume: 89.3 Å³/f.u.


Density functional theory data (PBE) for crystalline Ac2TiS2O2 at its relaxed geometry.

a = 4.1831 Å, b = 4.1831 Å, c = 8.1081 Å
α = 104.95°, β = 104.95°, γ = 90.00°
Atoms (fractional coordinates):
O 0.5000 0.0000 0.0000
O 0.0000 0.5000 0.0000
S 0.1716 0.1716 0.3432
S 0.8284 0.8284 0.6568
Ac 0.6261 0.6261 0.2523
Ac 0.3739 0.3739 0.7477
Ti 0.0000 0.0000 0.0000

Output
Electronic total energy: -52.034 eV/cell
Volume: 132.1 Å³/f.u.


Density functional theory data (PBE) for crystalline AcTmSO2 at its relaxed geometry.

a = 4.1379 Å, b = 4.1379 Å, c = 6.1676 Å
α = 90.00°, β = 90.00°, γ = 90.00°
Atoms (fractional coordinates):
Tm 0.0000 0.0000 0.0349
O 0.0000 0.5000 0.9129
O 0.5000 0.0000 0.9129
S 0.0000 0.0000 0.4626
Ac 0.5000 0.5000 0.6767

Output
Electronic total energy: -38.395 eV/cell
Volume: 105.6 Å³/f.u.


Density functional theory data (PBE) for crystalline Ac2TmS2O2 at its relaxed geometry.

a = 4.3383 Å, b = 4.3383 Å, c = 8.3593 Å
α = 105.04°, β = 105.04°, γ = 90.00°
Atoms (fractional coordinates):
Tm 0.0000 0.0000 0.0000
Ac 0.3668 0.3668 0.7335
Ac 0.6332 0.6332 0.2665
S 0.1736 0.1736 0.3472
S 0.8264 0.8264 0.6528
O 0.0000 0.5000 0.0000
O 0.5000 0.0000 0.0000

Output
Electronic total energy: -49.442 eV/cell
Volume: 146.3 Å³/f.u.


Density functional theory data (PBE) for crystalline AcTmS2O at its relaxed geometry.

a = 4.0366 Å, b = 4.0366 Å, c = 14.1033 Å
α = 90.00°, β = 90.00°, γ = 90.00°
Atoms (fractional coordinates):
O 0.5000 0.5000 0.5000
O 0.0000 0.0000 0.5000
S 0.5000 0.0000 0.9113
S 0.5000 0.0000 0.2881
S 0.0000 0.5000 0.0887
S 0.0000 0.5000 0.7119
Tm 0.5000 0.0000 0.1138
Tm 0.0000 0.5000 0.8862
Ac 0.5000 0.0000 0.5970
Ac 0.0000 0.5000 0.4030

Output
Electronic total energy: -68.688 eV/cell
Volume: 114.9 Å³/f.u.


Density functional theory data (PBE) for crystalline Ac2US4O2 at its relaxed geometry.

a = 5.0351 Å, b = 6.5782 Å, c = 6.5782 Å
α = 67.86°, β = 83.37°, γ = 83.37°
Atoms (fractional coordinates):
Ac 0.1979 0.6736 0.6736
Ac 0.8021 0.3264 0.3264
S 0.2811 0.1591 0.6145
S 0.7189 0.8409 0.3855
S 0.2811 0.6145 0.1591
S 0.7189 0.3855 0.8409
U 0.5000 0.0000 0.0000
O 0.7809 0.8665 0.8665
O 0.2191 0.1335 0.1335

Output
Electronic total energy: -66.228 eV/cell
Volume: 199.9 Å³/f.u.


Density functional theory data (PBE) for crystalline AcUSO2 at its relaxed geometry.

a = 3.9183 Å, b = 3.9183 Å, c = 6.9028 Å
α = 106.49°, β = 106.49°, γ = 90.00°
Atoms (fractional coordinates):
O 0.7574 0.2574 0.5149
O 0.2574 0.7574 0.5149
S 0.4943 0.4943 0.9886
Ac 0.1382 0.1382 0.2764
U 0.8526 0.8526 0.7052

Output
Electronic total energy: -42.409 eV/cell
Volume: 97.1 Å³/f.u.


Density functional theory data (PBE) for crystalline AcYS2O at its relaxed geometry.

a = 4.0689 Å, b = 4.0689 Å, c = 14.1925 Å
α = 90.00°, β = 90.00°, γ = 90.00°
Atoms (fractional coordinates):
S 0.5000 0.0000 0.9106
S 0.0000 0.5000 0.7087
S 0.0000 0.5000 0.0894
S 0.5000 0.0000 0.2913
Y 0.5000 0.0000 0.1157
Y 0.0000 0.5000 0.8843
O 0.5000 0.5000 0.5000
O 0.0000 0.0000 0.5000
Ac 0.0000 0.5000 0.4046
Ac 0.5000 0.0000 0.5954

Output
Electronic total energy: -72.866 eV/cell
Volume: 117.5 Å³/f.u.


Density functional theory data (PBE) for crystalline AcZnSO6 at its relaxed geometry.

a = 5.0802 Å, b = 5.0802 Å, c = 5.1673 Å
α = 90.00°, β = 90.00°, γ = 59.99°
Atoms (fractional coordinates):
Zn 0.6666 0.6667 0.5000
S 0.3333 0.3333 0.5000
O 0.5915 0.0562 0.3091
O 0.3522 0.0563 0.6908
O 0.5915 0.3523 0.6908
O 0.0562 0.3523 0.3092
O 0.0562 0.5915 0.6908
O 0.3522 0.5915 0.3092
Ac 0.0000 0.0000 0.0000

Output
Electronic total energy: -53.656 eV/cell
Volume: 115.5 Å³/f.u.